A relaxed Sr2Si4Pt3Au crystal, computed with PBE.

Summary:
- E_form (uncorrected): -0.820 eV/atom
- Spin magnetization: 0.00 μB per atom
- DOS(E_F): 0.37 states/eV per atom
- Space-group type: P-4m2, No. 115

abc: 4.3544 4.3544 10.0156
angles: 90.00 90.00 90.00
Fractional coordinates of all 10 atoms:
Si  0.0000  0.0000  0.0000
Au  0.5000  0.5000  0.5000
Si  0.5000  0.5000  0.0000
Pt  0.0000  0.0000  0.5000
Sr  0.5000  0.0000  0.2444
Pt  0.0000  0.5000  0.1192
Pt  0.5000  0.0000  0.8808
Si  0.0000  0.5000  0.3669
Sr  0.0000  0.5000  0.7556
Si  0.5000  0.0000  0.6331



A relaxed Ba2SrMn crystal, computed with PBE.

Summary:
- Relative energy among the computed polymorphs: 0.054 eV/atom
- Spin magnetization: 0.84 μB per atom
- DOS(E_F): 1.40 states/eV per atom
- Space-group type: Cm, No. 8

abc: 7.6657 7.6657 6.4851
angles: 64.94 64.94 32.28
Site moments in Bohr magnetons follow the coordinates.
Fractional coordinates of all 4 atoms:
Mn  0.4969  0.4969  0.5045  3.98
Sr  0.8019  0.8019  0.6974  -0.06
Ba  0.0020  0.0020  0.9980  -0.07
Ba  0.1992  0.1992  0.3001  -0.11



A relaxed RbNa2Sn6 crystal, computed with PBE.

Summary:
- Spin magnetization: 0.00 μB per atom
- DOS(E_F): 0.36 states/eV per atom
- Space-group type: C2/m, No. 12

abc: 4.9362 8.8125 8.8125
angles: 52.96 74.42 74.42
Fractional coordinates of all 9 atoms:
Na  0.1106  0.3855  0.3855
Na  0.8894  0.6145  0.6145
Sn  0.5000  0.6802  0.3198
Sn  0.5000  0.3198  0.6802
Sn  0.3027  0.3934  0.9981
Sn  0.6973  0.6066  0.0019
Sn  0.6973  0.0019  0.6066
Rb  0.0000  0.0000  0.0000
Sn  0.3027  0.9981  0.3934



A relaxed LaTb2Pr6Sm crystal, computed with PBE.

Summary:
- Spin magnetization: 0.00 μB per atom
- DOS(E_F): 1.50 states/eV per atom
- Space-group type: C2/c, No. 15

abc: 9.9279 9.0461 9.0461
angles: 117.63 94.35 94.35
Fractional coordinates of all 20 atoms:
Pr  0.6828  0.0183  0.5676
Pr  0.1828  0.5676  0.0183
Pr  0.8792  0.2966  0.5083
Pr  0.5555  0.7566  0.1104
Pr  0.8172  0.4324  0.9817
Pr  0.6208  0.4917  0.7034
Pr  0.3792  0.5083  0.2966
Pr  0.0555  0.1104  0.7566
Tb  0.0458  0.2899  0.1938
Tb  0.5458  0.1938  0.2899
La  0.2500  0.4054  0.5946
Pr  0.4445  0.2434  0.8896
Sm  0.7500  0.0284  0.9716
Pr  0.1208  0.7034  0.4917
Tb  0.9542  0.7101  0.8062
Pr  0.9445  0.8896  0.2434
Tb  0.4542  0.8062  0.7101
Pr  0.3172  0.9817  0.4324
Sm  0.2500  0.9716  0.0284
La  0.7500  0.5946  0.4054



A relaxed LiTi2Ni2 crystal, computed with PBE.

Summary:
- Relative energy among the computed polymorphs: 0.061 eV/atom
- Spin magnetization: 0.00 μB per atom
- DOS(E_F): 0.95 states/eV per atom
- Space-group type: P4/mbm, No. 127

abc: 7.3050 7.3050 2.6956
angles: 90.00 90.00 90.00
Fractional coordinates of all 10 atoms:
Li  0.0000  0.0000  0.0000
Ni  0.3635  0.1365  0.5000
Ni  0.8635  0.3635  0.5000
Ti  0.1567  0.3433  0.0000
Ti  0.6567  0.1567  0.0000
Li  0.5000  0.5000  0.0000
Ni  0.6365  0.8635  0.5000
Ni  0.1365  0.6365  0.5000
Ti  0.8433  0.6567  0.0000
Ti  0.3433  0.8433  0.0000



A relaxed CsNa7Sn5 crystal, computed with PBE.

Summary:
- Spin magnetization: 0.00 μB per atom
- DOS(E_F): 0.57 states/eV per atom
- Space-group type: Imm2, No. 44

abc: 6.8168 8.5117 8.5117
angles: 80.36 66.39 66.39
Fractional coordinates of all 13 atoms:
Sn  0.0242  0.5114  0.9970
Cs  0.0056  0.9944  0.9944
Sn  0.4674  0.9970  0.5114
Sn  0.7319  0.7681  0.7681
Na  0.5100  0.1997  0.7802
Na  0.9837  0.3533  0.6792
Na  0.3479  0.6521  0.6521
Na  0.5100  0.7802  0.1997
Na  0.2677  0.2323  0.2323
Sn  0.4674  0.5114  0.9970
Na  0.9837  0.6792  0.3533
Sn  0.0242  0.9970  0.5114
Na  0.6762  0.3238  0.3238



A relaxed CrNiIr2 crystal, computed with PBE.

Summary:
- Spin magnetization: 0.22 μB per atom
- DOS(E_F): 1.14 states/eV per atom
- Space-group type: Cmmm, No. 65

abc: 4.4997 4.4997 2.6924
angles: 90.00 90.00 106.92
Site moments in Bohr magnetons follow the coordinates.
Fractional coordinates of all 4 atoms:
Ir  0.5000  0.5000  0.0000  -0.07
Cr  0.0000  0.5000  0.5000  1.03
Ni  0.5000  0.0000  0.5000  -0.04
Ir  0.0000  0.0000  0.0000  -0.07



A relaxed CrCo3Si crystal, computed with PBE.

Summary:
- Relative energy among the computed polymorphs: 0.000 eV/atom
- E_form (uncorrected): 0.669 eV/atom
- Spin magnetization: 0.59 μB per atom
- DOS(E_F): 1.15 states/eV per atom
- Space-group type: Pm-3m, No. 221

abc: 4.1312 4.1312 4.1312
angles: 90.00 90.00 90.00
Site moments in Bohr magnetons follow the coordinates.
Fractional coordinates of all 5 atoms:
Co  0.0000  0.5000  0.0000  -0.28
Co  0.5000  0.0000  0.0000  -0.40
Co  0.0000  0.0000  0.5000  -0.27
Si  0.0000  0.0000  0.0000  0.01
Cr  0.5000  0.5000  0.5000  3.52



| no. | total energy (hartree per atom) |
| --- | --- |
| 1 | -0.2009 |
| 2 | -0.1213 |
| 3 | -0.1171 |
| 4 | -0.1708 |
| 5 | -0.2213 |
| 6 | -0.0904 |
| 7 | -0.3068 |
| 8 | -0.2427 |